Computed, not measured: a relaxed CrSiMo2 crystal at the PBE level of DFT.

abc: 3.6878 3.6878 8.3490
angles: 90.00 90.00 90.00
Closest atoms and distances in Å follow each position.
Space group I4/mmm (No. 139)
Inequivalent atoms, fractional coordinates:
1 Cr 0.0000 0.0000 0.0000  4 Si 2.61, 8 Mo 2.79
2 Si 0.0000 0.0000 0.5000  4 Cr 2.61, 8 Mo 2.79
3 Mo 0.0000 0.5000 0.2500  4 Mo 2.61, 4 Cr 2.79, 4 Si 2.79

Output
V   114 Å³ per cell
Uncorrected formation energy   0.0 eV per formula unit



Computed, not measured: a relaxed TaCrRu5 crystal at the PBE level of DFT.

abc: 4.1323 4.1323 6.1731
angles: 90.00 90.00 90.00
Closest atoms and distances in Å follow each position.
Space group P4/mmm (No. 123)
Inequivalent atoms, fractional coordinates:
1 Ta 0.0000 0.0000 0.0000  12 Ru 2.72-2.92
2 Cr 0.5000 0.5000 0.5000  8 Ru 2.45
3 Ru 0.0000 0.5000 0.2854  2 Cr 2.45, 3 Ru 2.65-2.72, 2 Ta 2.72
4 Ru 0.5000 0.5000 0.0000  8 Ru 2.72, 4 Ta 2.92

Output
V   105 Å³ per cell
E_form   0.166 eV/atom



Computed, not measured: a relaxed LiTeIN2 crystal at the PBE level of DFT.

abc: 4.0203 4.0203 7.4794
angles: 90.00 90.00 90.00
Closest atoms and distances in Å follow each position.
Space group P4/mmm (No. 123)
Inequivalent atoms, fractional coordinates:
1 Li 0.0000 0.0000 0.0000  4 I 2.84
2 Te 0.5000 0.5000 0.5000  4 N 2.01
3 I 0.5000 0.5000 0.0000  4 Li 2.84
4 N 0.0000 0.5000 0.5000  2 Te 2.01

Output
V   121 Å³ per cell
Uncorrected formation energy   4.1 eV per formula unit
Energy relative to the lowest polymorph listed for this composition   0.0 meV/atom



Computed, not measured: a relaxed Ba2I2Cl crystal at the PBE level of DFT.

abc: 4.8267 4.8267 11.5121
angles: 90.00 90.00 120.00
Closest atoms and distances in Å follow each position.
Space group P-3m1 (No. 164)
Inequivalent atoms, fractional coordinates:
1 Ba 0.3333 0.6667 0.3453  3 Cl 3.31, 3 I 3.41
2 I 0.3333 0.6667 0.8260  3 Ba 3.41
3 Cl 0.0000 0.0000 0.5000  6 Ba 3.31

Output
V   232 Å³ per cell
Uncorrected formation energy   -8.5 eV per formula unit
Energy relative to the lowest polymorph listed for this composition   44.4 meV/atom



Computed, not measured: a relaxed CdAuI2O crystal at the PBE level of DFT.

abc: 5.7985 5.7985 4.0303
angles: 90.00 90.00 90.00
Closest atoms and distances in Å follow each position.
Space group P4/mmm (No. 123)
Inequivalent atoms, fractional coordinates:
1 Cd 0.0000 0.0000 0.0000  8 I 3.53
2 Au 0.5000 0.5000 0.5000  2 O 2.02
3 I 0.0000 0.5000 0.5000  2 Au 2.90
4 O 0.5000 0.5000 0.0000  2 Au 2.02

Output
V   136 Å³ per cell
Uncorrected formation energy   0.8 eV per formula unit
Energy relative to the lowest polymorph listed for this composition   0.0 meV/atom



Computed, not measured: a relaxed NbTc3Br crystal at the PBE level of DFT.

abc: 4.5081 4.5081 4.5081
angles: 90.00 90.00 90.00
Closest atoms and distances in Å follow each position.
Space group Pm-3m (No. 221)
Inequivalent atoms, fractional coordinates:
1 Nb 0.0000 0.0000 0.0000  12 Tc 3.19
2 Tc 0.0000 0.5000 0.5000  2 Br 2.25
3 Br 0.5000 0.5000 0.5000  6 Tc 2.25

Output
V   92 Å³ per cell
Uncorrected formation energy   7.5 eV per formula unit
Energy relative to the lowest polymorph listed for this composition   0.0 meV/atom



no.,E (eV per cell)
1,-73.50
2,-66.69
3,-19.11
4,-17.30
5,-11.43
6,-35.36